Record 1
Th4Sb2TeIr: optimized geometry, PBE.

CIF file:
```
data_Th4Sb2TeIr
_cell_length_a 7.7808
_cell_length_b 4.2910
_cell_length_c 7.7868
_cell_angle_alpha 90.00
_cell_angle_beta 108.46
_cell_angle_gamma 90.00
_space_group_name_H-M_alt 'P 1 2/m 1'
_space_group_IT_number 10
_space_group_name_Hall '-P 2y'
loop_
_atom_site_label
_atom_site_fract_x
_atom_site_fract_y
_atom_site_fract_z
Th1 0.2137 0.0000 0.2168
Th2 0.2343 0.5000 0.7602
Sb1 0.0000 0.0000 0.5000
Sb2 0.5000 0.5000 0.5000
Te1 0.5000 0.0000 0.0000
Ir1 0.0000 0.5000 0.0000
```

Summary:
Its raw formation energy is -958.4 meV per atom. The size of the total moment comes out at 0.00 μB/f.u.


Record 2
OsF3: optimized geometry, PBE.

CIF file:
```
data_OsF3
_cell_length_a 5.5779
_cell_length_b 5.5779
_cell_length_c 5.5779
_cell_angle_alpha 90.00
_cell_angle_beta 90.00
_cell_angle_gamma 90.00
_space_group_name_H-M_alt 'F m -3 m'
_space_group_IT_number 225
_space_group_name_Hall '-F 4 2 3'
loop_
_atom_site_label
_atom_site_fract_x
_atom_site_fract_y
_atom_site_fract_z
Os1 0.0000 0.0000 0.0000
F1 0.0000 0.0000 0.5000
F2 0.2500 0.2500 0.2500
```

Summary:
Its raw formation energy is -309.5 meV per atom. The size of the total moment comes out at 5.00 μB/f.u.